First-principles (PBE-GGA) data for a relaxed NaScInSn crystal, as listed in the Alexandria database.

abc: 7.277 7.277 7.277
angles: 90.00 90.00 90.00
Space group F-43m (No. 216)
Symmetry-distinct sites (fractional):
Na (0.000, 0.000, 0.000)
Sc (0.000, 0.000, 0.500)
In (0.250, 0.250, 0.750)
Sn (0.250, 0.250, 0.250)

Calculated values
E_form	-0.9	eV/f.u.
energy	-3.83	eV per atom